# SmYGaPd PBE-GGA relaxed
data_SmYGaPd
_cell_length_a 5.085
_cell_length_b 5.085
_cell_length_c 5.085
_cell_angle_alpha 60.00
_cell_angle_beta 60.00
_cell_angle_gamma 60.00
_symmetry_space_group_name_H-M 'P 1'
_symmetry_Int_Tables_number 1
_symmetry_space_group_name_Hall 'P 1'
loop_
_atom_site_label
_atom_site_type_symbol
_atom_site_fract_x
_atom_site_fract_y
_atom_site_fract_z
Sm1 Sm 0.500 0.500 0.500
Ga1 Ga 0.250 0.250 0.250
Y1 Y 0.000 0.000 0.000
Pd1 Pd 0.750 0.750 0.750
# Excess energy over the best structure of this formula in the dataset: 0.0448 eV per atom
# DFT formation energy: -675 meV/atom
# SG: No. 216
# Raw total energy: -5.526 eV/atom